# Ni6Ir7

A geometry-optimized Ni6Ir7 structure (PBE, the Alexandria database).

Summary:
The value obtained for the energy relative to the elements is 0.40 eV/atom. Its space group is No. 166. The density of states at the Fermi level is 19.72 states/eV/cell. The size of the total moment comes out at 0.11 μB per atom.

Cell: 8.9108 8.9108 8.9108 Å, 33.48 33.48 33.48°
Last column: nearest neighbours and their distance in Å.
Element x y z (fractional)
Ir1 0.0786 0.5839 0.5839  5 Ni 2.51-2.63, 5 Ir 2.54-2.61
Ir2 0.5000 0.5000 0.5000  6 Ir 2.61
Ir3 0.9214 0.4161 0.4161  5 Ni 2.51-2.63, 5 Ir 2.54-2.61
Ir4 0.5839 0.0786 0.5839  5 Ni 2.51-2.63, 5 Ir 2.54-2.61
Ir5 0.4161 0.4161 0.9214  5 Ni 2.51-2.63, 5 Ir 2.54-2.61
Ir6 0.4161 0.9214 0.4161  5 Ni 2.51-2.63, 5 Ir 2.54-2.61
Ir7 0.5839 0.5839 0.0786  5 Ni 2.51-2.63, 5 Ir 2.54-2.61
Ni1 0.9354 0.9354 0.9354  1 Ni 2.52, 6 Ir 2.60
Ni2 0.1645 0.1645 0.1645  1 Ni 2.52, 3 Ir 2.63
Ni3 0.3355 0.3355 0.3355  6 Ir 2.51-2.58
Ni4 0.8355 0.8355 0.8355  1 Ni 2.52, 3 Ir 2.63
Ni5 0.6645 0.6645 0.6645  6 Ir 2.51-2.58
Ni6 0.0646 0.0646 0.0646  1 Ni 2.52, 6 Ir 2.60



# NiIr2

A geometry-optimized NiIr2 structure (PBE, the Alexandria database).

Summary:
The value obtained for the energy relative to the elements is 0.38 eV/atom. Its space group is No. 189. The density of states at the Fermi level is 11.31 states/eV/cell. The size of the total moment comes out at 0.00 μB per atom.

Cell: 6.3123 6.3123 3.6059 Å, 90.00 90.00 120.00°
Last column: nearest neighbours and their distance in Å.
Element x y z (fractional)
Ni1 0.0000 0.0000 0.5000  9 Ir 2.40-2.58
Ni2 0.6667 0.3333 0.0000  9 Ir 2.40-2.63
Ni3 0.3333 0.6667 0.0000  9 Ir 2.40-2.63
Ir1 0.7485 0.7485 0.0000  4 Ni 2.40
Ir2 0.4086 0.4086 0.5000  5 Ni 2.58-2.63, 6 Ir 2.80-2.89
Ir3 0.5914 0.0000 0.5000  5 Ni 2.58-2.63, 6 Ir 2.80-2.89
Ir4 0.0000 0.2515 0.0000  4 Ni 2.40
Ir5 0.0000 0.5914 0.5000  5 Ni 2.58-2.63, 6 Ir 2.80-2.89
Ir6 0.2515 0.0000 0.0000  4 Ni 2.40



# Ni8Ir

A geometry-optimized Ni8Ir structure (PBE, the Alexandria database).

Summary:
The value obtained for the energy relative to the elements is 0.11 eV/atom. Its space group is No. 139. The calculation puts the energy above the lowest structure with this stoichiometry at 100 meV per atom. The density of states at the Fermi level is 16.66 states/eV/cell. The size of the total moment comes out at 0.57 μB per atom.

Cell: 2.6209 6.4184 6.4184 Å, 87.61 78.22 78.22°
Last column: nearest neighbours and their distance in Å.
Element x y z (fractional)
Ir1 0.0000 0.0000 0.0000  8 Ni 2.51, 2 Ir 2.62
Ni1 0.3296 0.0000 0.3408  8 Ni 2.39-2.62, 2 Ir 2.51
Ni2 0.3296 0.3408 0.0000  8 Ni 2.39-2.62, 2 Ir 2.51
Ni3 0.6704 0.6592 0.0000  8 Ni 2.39-2.62, 2 Ir 2.51
Ni4 0.3342 0.6658 0.6658  10 Ni 2.46-2.62
Ni5 0.0000 0.6658 0.3342  10 Ni 2.46-2.62
Ni6 0.0000 0.3342 0.6658  10 Ni 2.46-2.62
Ni7 0.6658 0.3342 0.3342  10 Ni 2.46-2.62
Ni8 0.6704 0.0000 0.6592  8 Ni 2.39-2.62, 2 Ir 2.51



# NiIr3

A geometry-optimized NiIr3 structure (PBE, the Alexandria database).

Summary:
The value obtained for the energy relative to the elements is 0.02 eV/atom. Its space group is No. 166. The density of states at the Fermi level is 5.79 states/eV/cell. The size of the total moment comes out at 0.10 μB per atom.

Cell: 2.7144 8.7825 2.7144 Å, 98.89 60.00 98.89°
Last column: nearest neighbours and their distance in Å.
Element x y z (fractional)
Ni1 0.7500 0.2500 0.7500  6 Ir 2.60, 6 Ni 2.71
Ir1 0.2500 0.7500 0.2500  12 Ir 2.71-2.73
Ir2 0.4969 0.4906 0.4969  3 Ni 2.60, 9 Ir 2.71-2.73
Ir3 0.0031 0.0094 0.0031  3 Ni 2.60, 9 Ir 2.71-2.73



# NiIr3

A geometry-optimized NiIr3 structure (PBE, the Alexandria database).

Summary:
The value obtained for the energy relative to the elements is 0.46 eV/atom. Its space group is No. 166. The density of states at the Fermi level is 8.91 states/eV/cell. The size of the total moment comes out at 0.36 μB per atom.

Cell: 2.6808 5.0344 5.0344 Å, 116.92 79.78 79.78°
Last column: nearest neighbours and their distance in Å.
Element x y z (fractional)
Ir1 0.0000 0.5000 0.5000  6 Ir 2.63-2.68, 2 Ni 2.63
Ir2 0.5000 0.0000 0.5000  2 Ni 2.63, 6 Ir 2.63-2.68
Ir3 0.0000 0.0000 0.0000  6 Ir 2.63-2.68, 2 Ni 2.63
Ni1 0.5000 0.5000 0.0000  6 Ir 2.63, 2 Ni 2.68



# Ni13Ir2

A geometry-optimized Ni13Ir2 structure (PBE, the Alexandria database).

Summary:
The value obtained for the energy relative to the elements is 0.44 eV/atom. Its space group is No. 166. The calculation puts the energy above the lowest structure with this stoichiometry at 342 meV per atom. The density of states at the Fermi level is 30.85 states/eV/cell. The size of the total moment comes out at 0.71 μB per atom.

Cell: 6.5679 6.5679 6.9358 Å, 61.74 61.74 60.00°
Last column: nearest neighbours and their distance in Å.
Element x y z (fractional)
Ni1 0.1457 0.5167 0.8208  7 Ni 2.30-2.54, 1 Ir 2.39
Ni2 0.5167 0.1457 0.8208  7 Ni 2.30-2.54, 1 Ir 2.39
Ni3 0.5167 0.5167 0.8208  7 Ni 2.30-2.54, 1 Ir 2.39
Ni4 0.8543 0.4833 0.1792  7 Ni 2.30-2.54, 1 Ir 2.39
Ni5 0.4833 0.4833 0.1792  7 Ni 2.30-2.54, 1 Ir 2.39
Ni6 0.5000 0.5000 0.5000  12 Ni 2.33-2.42
Ni7 0.2675 0.8964 0.5686  8 Ni 2.42-2.54, 1 Ir 2.59
Ni8 0.1036 0.7325 0.4314  8 Ni 2.42-2.54, 1 Ir 2.59
Ni9 0.7325 0.1036 0.4314  8 Ni 2.42-2.54, 1 Ir 2.59
Ni10 0.8964 0.2675 0.5686  8 Ni 2.42-2.54, 1 Ir 2.59
Ni11 0.2675 0.2675 0.5686  8 Ni 2.42-2.54, 1 Ir 2.59
Ni12 0.4833 0.8543 0.1792  7 Ni 2.30-2.54, 1 Ir 2.39
Ni13 0.7325 0.7325 0.4314  8 Ni 2.42-2.54, 1 Ir 2.59
Ir1 0.2689 0.2689 0.1932  9 Ni 2.39-2.59
Ir2 0.7311 0.7311 0.8068  9 Ni 2.39-2.59



# NiIr2

A geometry-optimized NiIr2 structure (PBE, the Alexandria database).

Summary:
The value obtained for the energy relative to the elements is 0.03 eV/atom. Its space group is No. 139. The density of states at the Fermi level is 4.33 states/eV/cell. The size of the total moment comes out at 0.00 μB per atom.

Cell: 5.8026 5.8026 5.8026 Å, 152.97 152.97 38.59°
Last column: nearest neighbours and their distance in Å.
Element x y z (fractional)
Ir1 0.9970 0.9970 0.0000  4 Ni 2.62-2.63, 8 Ir 2.69-2.71
Ir2 0.6697 0.6697 0.0000  4 Ni 2.62, 8 Ir 2.69-2.71
Ni1 0.3333 0.3333 0.0000  8 Ir 2.62-2.63, 4 Ni 2.71



# Ni2Ir

A geometry-optimized Ni2Ir structure (PBE, the Alexandria database).

Summary:
The value obtained for the energy relative to the elements is 0.06 eV/atom. Its space group is No. 63. The calculation puts the energy above the lowest structure with this stoichiometry at 46 meV per atom. The density of states at the Fermi level is 11.93 states/eV/cell. The size of the total moment comes out at 0.40 μB per atom.

Cell: 2.6566 6.7382 4.2353 Å, 90.00 90.00 78.63°
Last column: nearest neighbours and their distance in Å.
Element x y z (fractional)
Ni1 0.8831 0.2339 0.5000  8 Ni 2.47-2.66, 4 Ir 2.60-2.68
Ni2 0.3304 0.3393 0.0000  10 Ni 2.47-2.66, 2 Ir 2.57
Ni3 0.2252 0.5496 0.5000  10 Ni 2.47-2.66, 2 Ir 2.57
Ni4 0.6725 0.6550 0.0000  8 Ni 2.47-2.66, 4 Ir 2.60-2.68
Ir1 0.5588 0.8823 0.5000  6 Ni 2.57-2.68, 6 Ir 2.63-2.66
Ir2 0.9967 0.0066 0.0000  6 Ni 2.57-2.68, 6 Ir 2.63-2.66